A relaxed structure of MgMo2Os. Source: Alexandria, functional PBE.

Cell: 4.6576 4.6576 2.8956 Å, 90.00 90.00 90.00°
Space group P4/mmm (No. 123)
Asymmetric unit:
Mg: 0.0000 0.0000 0.0000 x1
Mo: 0.0000 0.5000 0.5000 x2
Os: 0.5000 0.5000 0.0000 x1

Properties
Magnetic moment ... 0.000 μB per cell
ΔH_f (0 K) ... 173 kJ/mol of formula units
Crystal system ... tetragonal

---

A relaxed structure of LaSm4Dy5. Source: Alexandria, functional PBE.

Cell: 10.3517 10.3517 6.2417 Å, 90.00 90.00 90.00°
Space group I4 (No. 79)
Asymmetric unit:
La: 0.0000 0.0000 0.0000 x2
Sm: 0.0388 0.3449 0.7610 x8
Dy: 0.0000 0.0000 0.5393 x2
Dy: 0.1561 0.2226 0.2723 x8

Properties
Magnetic moment ... 0.000 μB per cell
Energy above the most stable polymorph in this dataset ... 0.2672 eV/atom
ΔH_f (0 K) ... 274 kJ/mol of formula units
Crystal system ... tetragonal

---

A relaxed structure of GeSb2IO. Source: Alexandria, functional PBE.

Cell: 5.3914 5.3914 5.4497 Å, 90.00 90.00 90.00°
Space group P4/mmm (No. 123)
Asymmetric unit:
Ge: 0.0000 0.0000 0.0000 x1
Sb: 0.0000 0.5000 0.0000 x2
I: 0.0000 0.0000 0.5000 x1
O: 0.5000 0.5000 0.5000 x1

Properties
Magnetic moment ... 0.000 μB per cell
Energy above the most stable polymorph in this dataset ... 0.8899 eV/atom
Crystal system ... tetragonal
Energy relative to the elements, uncorrected ... 1057 meV per atom

---

A relaxed structure of Sr2Cr2Ga. Source: Alexandria, functional PBE.

Cell: 3.3129 3.3129 21.1673 Å, 90.00 90.00 90.00°
Space group I4/mmm (No. 139)
Asymmetric unit:
Sr: 0.0000 0.0000 0.1099 x4
Cr: 0.0000 0.5000 0.2500 x4
Ga: 0.0000 0.0000 0.5000 x2

Properties
Magnetic moment ... 0.001 μB per cell
ΔH_f (0 K) ... 245 kJ/mol of formula units
Crystal system ... tetragonal

---

A relaxed structure of PmPr2Te5. Source: Alexandria, functional PBE.

Cell: 8.3470 8.3470 14.4812 Å, 90.00 90.00 90.00°
Space group I4/mcm (No. 140)
Asymmetric unit:
Pm: 0.0000 0.0000 0.2500 x4
Pr: 0.1511 0.3489 0.0000 x8
Te: 0.0000 0.0000 0.0000 x4
Te: 0.1574 0.3426 0.3486 x16

Properties
Magnetic moment ... 0.000 μB per cell
Crystal system ... tetragonal
Energy relative to the elements, uncorrected ... -1235 meV per atom

---

A relaxed structure of LiMgTlSi. Source: Alexandria, functional PBE.

Cell: 6.8372 6.8372 6.8372 Å, 90.00 90.00 90.00°
Space group F-43m (No. 216)
Asymmetric unit:
Li: 0.0000 0.0000 0.0000 x4
Mg: 0.0000 0.0000 0.5000 x4
Tl: 0.2500 0.2500 0.2500 x4
Si: 0.2500 0.2500 0.7500 x4

Properties
Magnetic moment ... 0.000 μB per cell
Crystal system ... cubic
Energy relative to the elements, uncorrected ... -7 meV per atom

---

A relaxed structure of MgMoRh2. Source: Alexandria, functional PBE.

Cell: 2.8272 4.5422 4.7030 Å, 90.00 90.00 90.00°
Space group Pmm2 (No. 25)
Asymmetric unit:
Mg: 0.0000 0.0000 0.0000 x1
Mo: 0.0000 0.5000 0.6027 x1
Rh: 0.5000 0.0000 0.4847 x1
Rh: 0.5000 0.5000 0.0858 x1

Properties
Magnetic moment ... 0.000 μB per cell
ΔH_f (0 K) ... -81 kJ/mol of formula units
Crystal system ... orthorhombic

---

A relaxed structure of NpGa3Pt3. Source: Alexandria, functional PBE.

Cell: 6.8505 6.8505 6.8505 Å, 90.00 90.00 90.00°
Space group Pm-3n (No. 223)
Asymmetric unit:
Np: 0.0000 0.0000 0.0000 x2
Ga: 0.0000 0.2500 0.5000 x6
Pt: 0.0000 0.5000 0.2500 x6

Properties
Magnetic moment ... 9.491 μB per cell
Energy above the most stable polymorph in this dataset ... 0.3837 eV/atom
ΔH_f (0 K) ... -99 kJ/mol of formula units
Crystal system ... cubic